# GdGa2Ni2 | OQMD via LeMat-Bulk | PBE-GGA | relaxed
data_GdGa2Ni2
_space_group_name_H-M_alt 'P 1'
_space_group_IT_number 1
_space_group_name_Hall 'P 1'
_cell_length_a 5.8103
_cell_length_b 5.8103
_cell_length_c 5.8103
_cell_angle_alpha 139.23
_cell_angle_beta 139.23
_cell_angle_gamma 59.03
loop_
_atom_site_label
_atom_site_type_symbol
_atom_site_fract_x
_atom_site_fract_y
_atom_site_fract_z
Ga1 Ga 0.7500 0.2500 0.5000
Ga2 Ga 0.2500 0.7500 0.5000
Gd1 Gd 0.0000 0.0000 0.0000
Ni1 Ni 0.3841 0.3841 0.0000
Ni2 Ni 0.6159 0.6159 0.0000
# ρ	8.3	g/cm3
# uncorrected energy	-24.59	eV per cell

# Gd2GaNi | OQMD via LeMat-Bulk | PBE-GGA | relaxed
data_Gd2GaNi
_space_group_name_H-M_alt 'P 1'
_space_group_IT_number 1
_space_group_name_Hall 'P 1'
_cell_length_a 4.2101
_cell_length_b 5.7074
_cell_length_c 5.7074
_cell_angle_alpha 41.42
_cell_angle_beta 90.00
_cell_angle_gamma 90.00
loop_
_atom_site_label
_atom_site_type_symbol
_atom_site_fract_x
_atom_site_fract_y
_atom_site_fract_z
Ga1 Ga 0.0000 0.5685 0.5685
Gd1 Gd 0.5000 0.1444 0.1444
Gd2 Gd 0.0000 0.8588 0.8588
Ni1 Ni 0.5000 0.4283 0.4283
# ρ	8.1	g/cm3
# uncorrected energy	-19.80	eV per cell

# GdGa2Ni3 | OQMD via LeMat-Bulk | PBE-GGA | relaxed
data_GdGa2Ni3
_space_group_name_H-M_alt 'P 1'
_space_group_IT_number 1
_space_group_name_Hall 'P 1'
_cell_length_a 5.2336
_cell_length_b 5.2336
_cell_length_c 3.8334
_cell_angle_alpha 90.00
_cell_angle_beta 90.00
_cell_angle_gamma 120.00
loop_
_atom_site_label
_atom_site_type_symbol
_atom_site_fract_x
_atom_site_fract_y
_atom_site_fract_z
Ga1 Ga 0.6667 0.3333 0.0000
Ga2 Ga 0.3333 0.6667 0.0000
Gd1 Gd 0.0000 0.0000 0.0000
Ni1 Ni 0.5000 0.0000 0.5000
Ni2 Ni 0.0000 0.5000 0.5000
Ni3 Ni 0.5000 0.5000 0.5000
# ρ	8.6	g/cm3
# uncorrected energy	-30.71	eV per cell

# Gd6GaNi2 | OQMD via LeMat-Bulk | PBE-GGA | relaxed
data_Gd6GaNi2
_space_group_name_H-M_alt 'P 1'
_space_group_IT_number 1
_space_group_name_Hall 'P 1'
_cell_length_a 8.3855
_cell_length_b 8.3855
_cell_length_c 8.3855
_cell_angle_alpha 112.87
_cell_angle_beta 109.28
_cell_angle_gamma 106.33
loop_
_atom_site_label
_atom_site_type_symbol
_atom_site_fract_x
_atom_site_fract_y
_atom_site_fract_z
Ga1 Ga 0.5000 0.0000 0.5000
Ga2 Ga 0.0000 0.5000 0.5000
Gd1 Gd 0.8201 0.2166 0.0366
Gd2 Gd 0.3261 0.5167 0.1906
Gd3 Gd 0.6739 0.8645 0.1906
Gd4 Gd 0.5691 0.2619 0.3072
Gd5 Gd 0.0452 0.7381 0.3072
Gd6 Gd 0.1799 0.2166 0.3965
Gd7 Gd 0.8201 0.7834 0.6035
Gd8 Gd 0.9548 0.2619 0.6928
Gd9 Gd 0.4309 0.7381 0.6928
Gd10 Gd 0.3261 0.1355 0.8094
Gd11 Gd 0.6739 0.4833 0.8094
Gd12 Gd 0.1799 0.7834 0.9634
Ni1 Ni 0.1202 0.1202 0.0000
Ni2 Ni 0.8798 0.8798 0.0000
Ni3 Ni 0.6574 0.5000 0.1574
Ni4 Ni 0.3426 0.5000 0.8426
# ρ	8.3	g/cm3
# uncorrected energy	-90.26	eV per cell

# PrGd2Ga3Ni3 | OQMD via LeMat-Bulk | PBE-GGA | relaxed
data_PrGd2Ga3Ni3
_space_group_name_H-M_alt 'P 1'
_space_group_IT_number 1
_space_group_name_Hall 'P 1'
_cell_length_a 3.8241
_cell_length_b 7.1451
_cell_length_c 7.1451
_cell_angle_alpha 119.76
_cell_angle_beta 90.00
_cell_angle_gamma 90.00
loop_
_atom_site_label
_atom_site_type_symbol
_atom_site_fract_x
_atom_site_fract_y
_atom_site_fract_z
Ga1 Ga 0.5000 0.9930 0.2419
Ga2 Ga 0.5000 0.7631 0.7631
Ga3 Ga 0.5000 0.2419 0.9930
Gd1 Gd 0.0000 0.9992 0.5868
Gd2 Gd 0.0000 0.5868 0.9992
Ni1 Ni 0.5000 0.6714 0.3309
Ni2 Ni 0.5000 0.3309 0.6714
Ni3 Ni 0.0000 0.9984 0.9984
Pr1 Pr 0.0000 0.4153 0.4153
# ρ	8.2	g/cm3
# uncorrected energy	-45.16	eV per cell

# Gd2Ga2NiPt3 | OQMD via LeMat-Bulk | PBE-GGA | relaxed
data_Gd2Ga2NiPt3
_space_group_name_H-M_alt 'P 1'
_space_group_IT_number 1
_space_group_name_Hall 'P 1'
_cell_length_a 4.3518
_cell_length_b 4.3518
_cell_length_c 9.1438
_cell_angle_alpha 90.00
_cell_angle_beta 90.00
_cell_angle_gamma 120.00
loop_
_atom_site_label
_atom_site_type_symbol
_atom_site_fract_x
_atom_site_fract_y
_atom_site_fract_z
Ga1 Ga 0.3333 0.6667 0.5003
Ga2 Ga 0.3333 0.6667 0.9951
Gd1 Gd 0.0000 0.0000 0.2467
Gd2 Gd 0.6667 0.3333 0.7521
Ni1 Ni 0.0000 0.0000 0.9300
Pt1 Pt 0.6667 0.3333 0.0697
Pt2 Pt 0.6667 0.3333 0.4167
Pt3 Pt 0.0000 0.0000 0.5894
# ρ	12.2	g/cm3
# uncorrected energy	-46.49	eV per cell

# GdGaNiPt | OQMD via LeMat-Bulk | PBE-GGA | relaxed
data_GdGaNiPt
_space_group_name_H-M_alt 'P 1'
_space_group_IT_number 1
_space_group_name_Hall 'P 1'
_cell_length_a 4.2998
_cell_length_b 4.2998
_cell_length_c 9.0696
_cell_angle_alpha 90.00
_cell_angle_beta 90.00
_cell_angle_gamma 120.00
loop_
_atom_site_label
_atom_site_type_symbol
_atom_site_fract_x
_atom_site_fract_y
_atom_site_fract_z
Ga1 Ga 0.0000 0.0000 0.4934
Ga2 Ga 0.0000 0.0000 0.9934
Gd1 Gd 0.6667 0.3333 0.2503
Gd2 Gd 0.3333 0.6667 0.7503
Ni1 Ni 0.3333 0.6667 0.4316
Ni2 Ni 0.6667 0.3333 0.9316
Pt1 Pt 0.3333 0.6667 0.0747
Pt2 Pt 0.6667 0.3333 0.5747
# ρ	11.0	g/cm3
# uncorrected energy	-45.05	eV per cell

# Gd2Ga2Ni3Pt | OQMD via LeMat-Bulk | PBE-GGA | relaxed
data_Gd2Ga2Ni3Pt
_space_group_name_H-M_alt 'P 1'
_space_group_IT_number 1
_space_group_name_Hall 'P 1'
_cell_length_a 4.2252
_cell_length_b 4.2252
_cell_length_c 9.0638
_cell_angle_alpha 90.00
_cell_angle_beta 90.00
_cell_angle_gamma 120.00
loop_
_atom_site_label
_atom_site_type_symbol
_atom_site_fract_x
_atom_site_fract_y
_atom_site_fract_z
Ga1 Ga 0.6667 0.3333 0.5019
Ga2 Ga 0.6667 0.3333 0.9878
Gd1 Gd 0.3333 0.6667 0.2561
Gd2 Gd 0.0000 0.0000 0.7467
Ni1 Ni 0.0000 0.0000 0.4416
Ni2 Ni 0.3333 0.6667 0.5611
Ni3 Ni 0.3333 0.6667 0.9275
Pt1 Pt 0.0000 0.0000 0.0774
# ρ	9.8	g/cm3
# uncorrected energy	-43.53	eV per cell